First-principles (PBE) data for a relaxed MgNiSe crystal, as listed in Alexandria.

a = 5.1641 Å, b = 5.1641 Å, c = 6.0921 Å
α = 106.46°, β = 106.46°, γ = 41.90°
Atoms (fractional coordinates):
Mg: 0.0984 0.0984 0.2424
Mg: 0.9016 0.9016 0.7576
Ni: 0.3738 0.3738 0.0595
Ni: 0.6262 0.6262 0.9405
Se: 0.1721 0.1721 0.7113
Se: 0.8279 0.8279 0.2887

Computed properties:
Raw total energy ... -12.18 eV per formula unit
Formation energy from raw total energies ... -0.441 eV/atom

First-principles (PBE) data for a relaxed Sc3VC crystal, as listed in Alexandria.

a = 4.7348 Å, b = 4.7348 Å, c = 4.7348 Å
α = 90.00°, β = 90.00°, γ = 90.00°
Atoms (fractional coordinates):
Sc: 0.0000 0.0000 0.5000
Sc: 0.0000 0.5000 0.0000
Sc: 0.5000 0.0000 0.0000
V: 0.0000 0.0000 0.0000
C: 0.5000 0.5000 0.5000

Computed properties:
Raw total energy ... -29.42 eV per formula unit
Energy of formation ... 763.9 kJ/mol of formula units
Relative energy among the computed polymorphs ... 1614 meV per atom

First-principles (PBE) data for a relaxed NpGa2Cu crystal, as listed in Alexandria.

a = 5.7108 Å, b = 5.7108 Å, c = 5.7108 Å
α = 42.42°, β = 42.42°, γ = 42.42°
Atoms (fractional coordinates):
Np: 0.0000 0.0000 0.0000
Ga: 0.2154 0.2154 0.2154
Ga: 0.7846 0.7846 0.7846
Cu: 0.5000 0.5000 0.5000

Computed properties:
Raw total energy ... -23.20 eV per formula unit
Energy of formation ... -10.4 kJ/mol of formula units

First-principles (PBE) data for a relaxed Pm6Tc2HBr3 crystal, as listed in Alexandria.

a = 6.7043 Å, b = 6.7043 Å, c = 8.2471 Å
α = 98.07°, β = 98.07°, γ = 117.15°
Atoms (fractional coordinates):
Pm: 0.0700 0.4017 0.6876
Pm: 0.2333 0.2333 0.2817
Pm: 0.4017 0.0700 0.6876
Pm: 0.5983 0.9300 0.3124
Pm: 0.7667 0.7667 0.7183
Pm: 0.9300 0.5983 0.3124
Tc: 0.3596 0.6404 0.5000
Tc: 0.6404 0.3596 0.5000
H: 0.0000 0.0000 0.5000
Br: 0.1783 0.8217 0.0000
Br: 0.5000 0.5000 0.0000
Br: 0.8217 0.1783 0.0000

Computed properties:
Raw total energy ... -65.24 eV per formula unit

First-principles (PBE) data for a relaxed Tc2NiP4 crystal, as listed in Alexandria.

a = 6.7121 Å, b = 6.7121 Å, c = 6.7121 Å
α = 142.11°, β = 142.11°, γ = 54.67°
Atoms (fractional coordinates):
Tc: 0.1106 0.1106 0.0000
Tc: 0.8894 0.8894 0.0000
Ni: 0.5000 0.5000 0.0000
P: 0.0000 0.5000 0.5000
P: 0.2973 0.2973 0.0000
P: 0.5000 0.0000 0.5000
P: 0.7027 0.7027 0.0000

Computed properties:
Raw total energy ... -44.76 eV per formula unit
Energy of formation ... 327.3 kJ/mol of formula units

First-principles (PBE) data for a relaxed ZrNiAs2 crystal, as listed in Alexandria.

a = 4.3969 Å, b = 4.3969 Å, c = 3.4233 Å
α = 90.00°, β = 90.00°, γ = 90.00°
Atoms (fractional coordinates):
Zr: 0.0000 0.0000 0.0000
Ni: 0.5000 0.5000 0.0000
As: 0.0000 0.5000 0.5000
As: 0.5000 0.0000 0.5000

Computed properties:
Raw total energy ... -25.52 eV per formula unit
Energy of formation ... -182.3 kJ/mol of formula units

Look up the raw total energy of the fourth one.
-65.24 eV per formula unit